A geometry-optimized AlOs2 structure, computed with PBE.

## Properties
As for the space group: P-3m1, No. 164. As for the crystal system: trigonal. The value obtained for the density of states at the Fermi level is 0.9590 states/eV per atom. The calculation puts the formation enthalpy at 0 K at -0.0916 eV/atom. The value obtained for the total energy is -0.32433 hartree per atom.

Geometry as POSCAR:
```
AlOs2
1.0
2.7772 0.0000 0.0000
-1.3886 2.4052 0.0000
0.0000 0.0000 6.4489
Os Al
2 1
Cartesian
1.3886 0.8017 4.2798 Os
0.0000 1.6034 2.1691 Os
0.0000 0.0000 0.0000 Al
```

=====

A geometry-optimized Al2Os structure, computed with PBE.

## Properties
As for the space group: I4_1/amd, No. 141. As for the crystal system: tetragonal. The value obtained for the density of states at the Fermi level is 0.4940 states/eV per atom. The calculation puts the formation enthalpy at 0 K at -0.2234 eV/atom. The value obtained for the total energy is -0.23746 hartree per atom.

Geometry as POSCAR:
```
Al2Os
1.0
-1.4888 1.4888 10.8364
1.4888 -1.4888 10.8364
1.4888 1.4888 -10.8364
Al Os
4 2
Cartesian
0.0000 0.0000 12.3209 Al
1.4888 0.0000 3.9338 Al
0.0000 0.0000 9.3520 Al
1.4888 0.0000 6.9027 Al
0.0000 0.0000 0.0000 Os
0.0000 1.4888 5.4182 Os
```

=====

A geometry-optimized Al13Os4 structure, computed with PBE.

## Properties
As for the space group: C2/m, No. 12. As for the crystal system: monoclinic. The value obtained for the density of states at the Fermi level is 0.2592 states/eV per atom. The calculation puts the formation enthalpy at 0 K at -0.4496 eV/atom. The value obtained for the total energy is -0.21880 hartree per atom.

Geometry as POSCAR:
```
Al13Os4
1.0
9.1086 0.0096 0.0086
8.1249 4.1174 0.0086
3.3206 0.7952 7.0483
Al Os
13 4
Cartesian
15.5173 3.7161 1.1301 Al
16.7265 4.0056 6.4765 Al
10.7977 2.5858 1.4351 Al
12.2462 2.9327 4.4789 Al
5.0367 1.2062 5.9353 Al
14.8018 3.5447 4.3703 Al
2.9015 0.6948 3.0454 Al
8.3078 1.9895 2.5865 Al
8.6167 2.0635 0.0086 Al
9.7563 2.3364 5.6303 Al
5.7523 1.3775 2.6951 Al
3.8276 0.9166 0.5889 Al
17.6525 4.2274 4.0199 Al
0.8010 0.1918 1.3786 Os
7.4255 1.7783 5.0003 Os
19.7530 4.7304 5.6867 Os
13.1285 3.1440 2.0651 Os
```

=====

A geometry-optimized AlOs2 structure, computed with PBE.

## Properties
As for the space group: Cmcm, No. 63. As for the crystal system: orthorhombic. The value obtained for the density of states at the Fermi level is 0.5717 states/eV per atom. The calculation puts the formation enthalpy at 0 K at -0.1889 eV/atom. The value obtained for the total energy is -0.32791 hartree per atom.

Geometry as POSCAR:
```
AlOs2
1.0
1.3933 -6.8840 0.0000
1.3933 6.8840 0.0000
0.0000 0.0000 4.4463
Al Os
2 4
Cartesian
1.3933 -3.8384 3.3347 Al
1.3933 3.8384 1.1116 Al
1.3933 5.3180 3.3347 Os
1.3933 0.7307 3.3347 Os
1.3933 -0.7307 1.1116 Os
1.3933 -5.3180 1.1116 Os
```

=====

A geometry-optimized Al3Os structure, computed with PBE.

## Properties
As for the space group: P4/mmm, No. 123. As for the crystal system: tetragonal. The value obtained for the density of states at the Fermi level is 0.2322 states/eV per atom. The calculation puts the formation enthalpy at 0 K at -0.2056 eV/atom. The value obtained for the total energy is -0.21388 hartree per atom.

Geometry as POSCAR:
```
Al3Os
1.0
-0.5077 3.2417 -2.7406
-3.0202 1.6637 2.5274
2.1935 1.6444 1.5387
Os Al
1 3
Cartesian
-0.4133 1.6541 2.0331 Os
0.0000 0.0000 0.0000 Al
0.8429 2.4431 -0.6009 Al
-1.7639 2.4527 -0.1066 Al
```

=====

A geometry-optimized Al3Os structure, computed with PBE.

## Properties
As for the space group: Pm-3n, No. 223. As for the crystal system: cubic. The value obtained for the density of states at the Fermi level is 0.5403 states/eV per atom. The calculation puts the formation enthalpy at 0 K at -0.3580 eV/atom. The value obtained for the total energy is -0.21948 hartree per atom.

Geometry as POSCAR:
```
Al3Os
1.0
-2.9705 2.4827 2.9998
-3.6334 -0.4101 -3.2584
-1.4006 -4.2017 2.0906
Al Os
6 2
Cartesian
-4.0445 1.6570 0.6207 Al
-2.5593 0.4156 -0.8792 Al
-3.4253 -2.4084 -1.3985 Al
-1.6086 -2.2034 0.2307 Al
-1.8354 0.1909 2.0226 Al
-2.5356 -1.9099 3.0679 Al
0.0000 0.0000 0.0000 Os
-4.0022 -1.0646 0.9160 Os
```

=====

A geometry-optimized Al2Os structure, computed with PBE.

## Properties
As for the space group: Fm-3m, No. 225. As for the crystal system: cubic. The value obtained for the density of states at the Fermi level is 0.3353 states/eV per atom. The calculation puts the formation enthalpy at 0 K at -0.2129 eV/atom. The value obtained for the total energy is -0.23708 hartree per atom.

Geometry as POSCAR:
```
Al2Os
1.0
4.1633 0.0000 0.0000
2.0816 3.6055 0.0000
2.0816 1.2018 3.3993
Os Al
1 2
Cartesian
0.0000 0.0000 0.0000 Os
6.2449 3.6055 2.5495 Al
2.0816 1.2018 0.8498 Al
```

=====

A geometry-optimized Al3Os structure, computed with PBE.

## Properties
As for the space group: I4/mmm, No. 139. As for the crystal system: tetragonal. The value obtained for the density of states at the Fermi level is 0.3948 states/eV per atom. The calculation puts the formation enthalpy at 0 K at -0.3011 eV/atom. The value obtained for the total energy is -0.21739 hartree per atom.

Geometry as POSCAR:
```
Al3Os
1.0
4.7207 -0.0004 0.0000
1.5254 4.4674 0.0000
-3.1230 -2.2335 2.7464
Os Al
1 3
Cartesian
0.0000 0.0000 0.0000 Os
0.7627 2.2337 1.3732 Al
3.1230 2.2335 0.0000 Al
2.3603 -0.0002 1.3732 Al
```